1.
CePrZn3 PBE-GGA relaxed; space-group type = Cmcm (63); magnetic moment = 0.2042 μB per atom; calculated total energy = -3.1724 eV/atom
1.0
1.7622 -13.9362 0.0000
1.7622 13.9362 0.0000
0.0000 0.0000 4.5968
Ce Pr Zn
2 2 6
Cartesian
1.7622 7.9822 3.4476
1.7622 -7.9822 1.1492
1.7622 11.9286 1.1492
1.7622 -11.9286 3.4476
1.7622 4.7488 3.4476
1.7622 3.3474 1.1492
1.7622 0.6597 1.1492
1.7622 -0.6597 3.4476
1.7622 -3.3474 3.4476
1.7622 -4.7488 1.1492


2.
Tl2InNiTe PBE-GGA relaxed; space-group type = P4/mmm (123); magnetic moment = 0.0000 μB per atom; ΔE_f (raw) = -0.061 eV/atom
1.0
5.1846 0.0000 0.0000
0.0000 5.1846 0.0000
0.0000 0.0000 5.1214
Tl In Ni Te
2 1 1 1
Cartesian
0.0000 2.5923 0.0000
2.5923 0.0000 0.0000
0.0000 0.0000 2.5607
0.0000 0.0000 0.0000
2.5923 2.5923 2.5607


3.
Sm3Al3Ag2 PBE-GGA relaxed; space-group type = Cmcm (63); magnetic moment = 0.0000 μB per atom; calculated total energy = -4.2681 eV/atom
1.0
2.3049 -5.3775 0.0000
2.3049 5.3775 0.0000
0.0000 0.0000 15.2653
Sm Al Ag
6 6 4
Cartesian
2.3049 4.3520 9.3200
2.3049 4.3520 13.5780
2.3049 1.3583 11.4490
2.3049 -1.3583 3.8163
2.3049 -4.3520 1.6873
2.3049 -4.3520 5.9454
2.3049 1.7726 3.8163
2.3049 1.1901 8.2086
2.3049 1.1901 14.6894
2.3049 -1.1901 0.5760
2.3049 -1.1901 7.0567
2.3049 -1.7726 11.4490
2.3049 3.2070 1.4995
2.3049 3.2070 6.1332
2.3049 -3.2070 9.1322
2.3049 -3.2070 13.7658


4.
Ba2LiUSe5 PBE-GGA relaxed; space-group type = Cmc2_1 (36); magnetic moment = 0.1111 μB per atom; ΔE_f (raw) = -1.540 eV/atom
1.0
2.1820 -9.3528 0.0000
2.1820 9.3528 0.0000
0.0000 0.0000 13.3512
Ba Li U Se
4 2 2 10
Cartesian
2.1820 7.3972 6.6756
2.1820 7.0861 1.6401
2.1820 -7.0861 8.3157
2.1820 -7.3972 0.0000
2.1820 1.1397 3.4227
2.1820 -1.1397 10.0983
2.1820 5.4675 11.0611
2.1820 -5.4675 4.3855
2.1820 8.0861 11.4569
2.1820 4.0383 6.2067
2.1820 3.6961 2.5612
2.1820 2.7585 10.8813
2.1820 -0.0033 1.2034
2.1820 0.0033 7.8790
2.1820 -2.7585 4.2057
2.1820 -3.6961 9.2368
2.1820 -4.0383 12.8824
2.1820 -8.0861 4.7813


5.
K2PaTeSe5 PBE-GGA relaxed; space-group type = Cmc2_1 (36); magnetic moment = 0.0193 μB per atom; ΔE_f (raw) = -0.938 eV/atom
1.0
2.1973 -10.8574 0.0000
2.1973 10.8574 0.0000
0.0000 0.0000 12.7867
K Pa Te Se
4 2 2 10
Cartesian
2.1973 8.1685 6.3934
2.1973 8.1089 11.4511
2.1973 -8.1089 5.0577
2.1973 -8.1685 0.0000
2.1973 5.9690 2.5029
2.1973 -5.9690 8.8962
2.1973 0.4591 8.5010
2.1973 -0.4591 2.1076
2.1973 8.9679 2.6154
2.1973 4.6198 7.1487
2.1973 4.5773 10.6437
2.1973 3.3389 2.5303
2.1973 0.1350 6.0401
2.1973 -0.1350 12.4335
2.1973 -3.3389 8.9237
2.1973 -4.5773 4.2503
2.1973 -4.6198 0.7553
2.1973 -8.9679 9.0087


6.
BaLiH3 PBE-GGA relaxed; space-group type = Pm-3m (221); magnetic moment = 0.0000 μB per atom; calculated total energy = -2.6853 eV/atom
1.0
5.0544 0.0000 0.0000
0.0000 5.0544 0.0000
0.0000 0.0000 5.0544
Ba Li H
1 1 3
Cartesian
0.0000 0.0000 0.0000
2.5272 2.5272 2.5272
0.0000 0.0000 2.5272
0.0000 2.5272 0.0000
2.5272 0.0000 0.0000


7.
TbHoNpO6 PBE-GGA relaxed; space-group type = P-31c (163); magnetic moment = 0.1111 μB per atom; ΔE_f (raw) = -3.213 eV/atom
1.0
5.7214 0.0000 0.0000
-2.8607 4.9549 0.0000
0.0000 0.0000 9.4755
Tb Ho Np O
2 2 2 12
Cartesian
0.0000 0.0000 0.0000
0.0000 0.0000 4.7378
0.0000 3.3033 2.3689
2.8607 1.6516 7.1066
0.0000 3.3033 7.1066
2.8607 1.6516 2.3689
-0.8833 1.7698 6.0093
-1.7697 3.3051 8.2040
0.8833 1.7698 8.2040
-0.8864 4.8350 6.0093
1.9743 0.1199 1.2715
1.0910 1.6499 3.4662
1.7697 3.3051 6.0093
0.8864 4.8350 8.2040
3.7471 0.1199 3.4662
1.9774 3.1851 1.2715
4.6304 1.6499 1.2715
3.7440 3.1851 3.4662


8.
K3TiSn PBE-GGA relaxed; space-group type = Pm-3m (221); magnetic moment = 0.2273 μB per atom; calculated total energy = -1.9740 eV/atom
1.0
6.4916 0.0000 0.0000
0.0000 6.4916 0.0000
0.0000 0.0000 6.4916
K Ti Sn
3 1 1
Cartesian
0.0000 0.0000 3.2458
0.0000 3.2458 0.0000
3.2458 0.0000 0.0000
0.0000 0.0000 0.0000
3.2458 3.2458 3.2458


9.
Tm2AlAg2 PBE-GGA relaxed; space-group type = Ibam (72); magnetic moment = 0.0000 μB per atom; calculated total energy = -3.8381 eV/atom
1.0
-3.5121 5.9280 2.8876
3.5121 -5.9280 2.8876
3.5121 5.9280 -2.8876
Tm Al Ag
4 2 4
Cartesian
1.2478 1.9576 0.0000
1.2478 -1.9576 2.8876
2.2643 7.8856 0.0000
2.2643 3.9703 2.8876
3.5121 0.0000 1.4438
0.0000 5.9280 1.4438
5.4247 1.1297 0.0000
1.9127 4.7983 0.0000
1.5994 1.1297 2.8876
-1.9127 4.7983 2.8876


10.
Ce2Cd16Bi PBE-GGA relaxed; space-group type = R3m (160); magnetic moment = 0.1215 μB per atom; calculated total energy = -1.7160 eV/atom
1.0
5.1653 2.9822 4.9001
-5.1653 2.9822 4.9001
0.0000 -5.9644 4.9001
Ce Cd Bi
2 16 1
Cartesian
0.0000 0.0000 0.0000
0.0000 0.0000 4.8654
0.0000 -2.8273 2.5847
-2.4485 1.4136 2.5847
-2.7190 -1.5698 7.3454
0.0000 -3.1291 7.1347
-2.7099 1.5646 7.1347
-1.6085 -2.8166 9.7709
-3.2435 0.0154 9.7709
2.4485 1.4136 2.5847
1.6084 -2.8166 9.7709
-1.6350 2.8013 9.7709
2.7190 -1.5698 7.3454
0.0000 3.1397 7.3454
0.0000 0.0000 11.3164
2.7099 1.5645 7.1347
3.2435 0.0154 9.7709
1.6350 2.8013 9.7709
0.0000 0.0000 8.2137


11.
Sc2FeW PBE-GGA relaxed; space-group type = F-43m (216); magnetic moment = 0.0002 μB per atom; calculated total energy = -8.2024 eV/atom
1.0
0.0000 3.2052 3.2052
3.2052 0.0000 3.2052
3.2052 3.2052 0.0000
Sc Fe W
2 1 1
Cartesian
0.0000 0.0000 0.0000
1.6026 1.6026 1.6026
3.2052 3.2052 3.2052
4.8078 4.8078 4.8078


12.
KZrRh2 PBE-GGA relaxed; space-group type = P4mm (99); magnetic moment = 0.0000 μB per atom; calculated total energy = -5.9352 eV/atom
1.0
3.5506 0.0000 0.0000
0.0000 3.5506 0.0000
0.0000 0.0000 7.8911
K Zr Rh
1 1 2
Cartesian
0.0000 0.0000 0.0000
1.7753 1.7753 4.5653
0.0000 0.0000 3.6649
1.7753 1.7753 2.1982


Question: Which of these has the highest magnetic moment?
Answer: K3TiSn


Question: Which formula does entry 2 have?
Answer: Tl2InNiTe